[1]
DFT (PBE-GGA) results for a geometry-optimized PrHo2Zn3Ir2Pt structure.

Values from the calculation:
E_tot	-5.365	eV/atom

Lattice parameters (Å, degrees): 3.935 12.566 7.194 90.00 90.00 90.00
Space group Amm2 (No. 38)
Asymmetric unit:
Pr 0.000 0.000 0.000
Ho 0.000 0.204 0.616
Zn 0.500 0.000 0.661
Zn 0.500 0.127 0.290
Ir 0.500 0.173 0.910
Pt 0.000 0.000 0.420

[2]
DFT (PBE-GGA) results for a geometry-optimized Pr3Ho3Te2Ir structure.

Values from the calculation:
E_tot	-5.538	eV/atom
relative energy among the computed polymorphs	163.3	meV/atom

Lattice parameters (Å, degrees): 8.6212 8.6212 3.9576 90.00 90.00 120.00
Space group P-62m (No. 189)
Asymmetric unit:
Pr 0.0000 0.2480 0.0000
Ho 0.0000 0.5971 0.5000
Te 0.3333 0.6667 0.0000
Ir 0.0000 0.0000 0.5000

[3]
DFT (PBE-GGA) results for a geometry-optimized Pr3Ho3Te2Ir structure.

Values from the calculation:
E_tot	-5.701	eV/atom
relative energy among the computed polymorphs	0.0	meV/atom

Lattice parameters (Å, degrees): 8.4963 8.4963 4.0795 90.00 90.00 120.00
Space group P-62m (No. 189)
Asymmetric unit:
Pr 0.0000 0.5971 0.0000
Ho 0.0000 0.2345 0.5000
Te 0.3333 0.6667 0.5000
Ir 0.0000 0.0000 0.0000

[4]
DFT (PBE-GGA) results for a geometry-optimized TbHo2Zn3Ir2Pt structure.

Values from the calculation:
E_tot	-5.391	eV/atom

Lattice parameters (Å, degrees): 3.888 12.452 7.159 90.00 90.00 90.00
Space group Amm2 (No. 38)
Asymmetric unit:
Tb 0.000 0.000 0.000
Ho 0.000 0.204 0.613
Zn 0.500 0.000 0.662
Zn 0.500 0.127 0.283
Ir 0.500 0.168 0.908
Pt 0.000 0.000 0.411

[5]
DFT (PBE-GGA) results for a geometry-optimized HoTm2Zn3Ir2Pt structure.

Values from the calculation:
E_tot	-5.378	eV/atom

Lattice parameters (Å, degrees): 3.861 12.394 7.124 90.00 90.00 90.00
Space group Amm2 (No. 38)
Asymmetric unit:
Ho 0.000 0.000 0.000
Tm 0.000 0.203 0.610
Zn 0.500 0.000 0.664
Zn 0.500 0.128 0.279
Ir 0.500 0.168 0.907
Pt 0.000 0.000 0.409

[6]
DFT (PBE-GGA) results for a geometry-optimized Ho2TmZn3Ir2Pt structure.

Values from the calculation:
E_tot	-5.385	eV/atom

Lattice parameters (Å, degrees): 3.869 12.361 7.167 90.00 90.00 90.00
Space group Amm2 (No. 38)
Asymmetric unit:
Ho 0.000 0.204 0.000
Tm 0.000 0.000 0.609
Zn 0.500 0.000 0.949
Zn 0.500 0.128 0.332
Ir 0.500 0.165 0.703
Pt 0.000 0.000 0.205

[7]
DFT (PBE-GGA) results for a geometry-optimized Ho3Zn3IrPt2 structure.

Values from the calculation:
E_tot	-5.168	eV/atom

Lattice parameters (Å, degrees): 7.1808 7.1808 3.9241 90.00 90.00 120.00
Space group P-62m (No. 189)
Asymmetric unit:
Ho 0.0000 0.5986 0.0000
Zn 0.0000 0.2451 0.5000
Ir 0.0000 0.0000 0.0000
Pt 0.3333 0.6667 0.5000

[8]
DFT (PBE-GGA) results for a geometry-optimized HoPuIr structure.

Values from the calculation:
E_tot	-9.700	eV/atom
relative energy among the computed polymorphs	0.0	meV/atom

Lattice parameters (Å, degrees): 6.679 6.679 6.679 90.00 90.00 90.00
Space group F-43m (No. 216)
Asymmetric unit:
Ho 0.000 0.000 0.000
Pu 0.000 0.000 0.500
Ir 0.250 0.250 0.750

[9]
DFT (PBE-GGA) results for a geometry-optimized Ho7Ir2Se2 structure.

Values from the calculation:
E_tot	-6.215	eV/atom

Lattice parameters (Å, degrees): 3.883 15.159 9.184 90.00 90.00 90.00
Space group Imm2 (No. 44)
Asymmetric unit:
Ho 0.000 0.000 0.000
Ho 0.000 0.124 0.415
Ho 0.000 0.318 0.626
Ho 0.000 0.359 0.259
Ir 0.000 0.240 0.927
Se 0.000 0.000 0.663
Se 0.000 0.500 0.757

[10]
DFT (PBE-GGA) results for a geometry-optimized HoSiIr structure.

Values from the calculation:
E_tot	-7.252	eV/atom

Lattice parameters (Å, degrees): 4.0972 4.0972 8.0704 90.00 90.00 120.00
Space group P6_3/mmc (No. 194)
Asymmetric unit:
Ho 0.0000 0.0000 0.0000
Si 0.3333 0.6667 0.2500
Ir 0.3333 0.6667 0.7500

[11]
DFT (PBE-GGA) results for a geometry-optimized Ho3Si13Ir4 structure.

Values from the calculation:
E_tot	-6.584	eV/atom

Lattice parameters (Å, degrees): 8.751 8.751 8.751 90.00 90.00 90.00
Space group Pm-3n (No. 223)
Asymmetric unit:
Ho 0.000 0.250 0.500
Si 0.000 0.000 0.000
Si 0.000 0.291 0.137
Ir 0.250 0.250 0.250

[12]
DFT (PBE-GGA) results for a geometry-optimized Ho3Si4Ir structure.

Values from the calculation:
E_tot	-6.223	eV/atom

Lattice parameters (Å, degrees): 5.646 3.877 7.206 90.00 97.17 90.00
Space group Pm (No. 6)
Asymmetric unit:
Ho 0.000 0.000 0.000
Ho 0.192 0.000 0.477
Ho 0.493 0.500 0.845
Si 0.292 0.500 0.202
Si 0.554 0.000 0.170
Si 0.704 0.000 0.609
Si 0.974 0.500 0.699
Ir 0.685 0.500 0.396

Please write out number 10 again, unchanged.
DFT (PBE-GGA) results for a geometry-optimized HoSiIr structure.

Values from the calculation:
E_tot	-7.252	eV/atom

Lattice parameters (Å, degrees): 4.0972 4.0972 8.0704 90.00 90.00 120.00
Space group P6_3/mmc (No. 194)
Asymmetric unit:
Ho 0.0000 0.0000 0.0000
Si 0.3333 0.6667 0.2500
Ir 0.3333 0.6667 0.7500

> Among the records above, which one has the lowest E_tot?

HoPuIr

> Number 12 is which compound?

Ho3Si4Ir